Record 1
K2Cd4Au5 | PBE-GGA | optimized geometry

Output
For the magnetization, the calculation gives 0.000 μB per formula unit. As for the space group: No. 69. The total energy comes out at -0.0818 Ha/atom.

Cell lengths 6.186, 6.030, 9.348 Å; angles 80.23, 70.68, 59.14 degrees
Sites, in units of the cell vectors:
Cd 0.789 0.679 0.742
Au 0.500 0.500 0.000
Au 0.250 0.500 0.500
Au 0.500 0.000 0.000
K 0.131 0.000 0.737
Cd 0.211 0.321 0.258
Cd 0.469 0.321 0.742
Au 0.000 0.500 0.000
K 0.869 0.000 0.263
Cd 0.531 0.679 0.258
Au 0.750 0.500 0.500

Record 2
K3Cd7Au2 | PBE-GGA | optimized geometry

Output
For the magnetization, the calculation gives 0.000 μB per formula unit. As for the space group: No. 166. The total energy comes out at -0.0560 Ha/atom.

Cell lengths 6.363, 6.363, 10.261 Å; angles 71.94, 71.94, 60.00 degrees
Sites, in units of the cell vectors:
Au 0.332 0.332 0.005
Cd 0.500 0.500 0.500
Au 0.668 0.668 0.995
K 0.855 0.855 0.436
K 0.145 0.145 0.564
Cd 0.424 0.424 0.234
Cd 0.576 0.082 0.766
Cd 0.082 0.576 0.766
K 0.000 0.000 0.000
Cd 0.424 0.918 0.234
Cd 0.576 0.576 0.766
Cd 0.918 0.424 0.234

Record 3
K12Cd6Au | PBE-GGA | optimized geometry

Output
For the magnetization, the calculation gives 0.000 μB per formula unit. As for the space group: No. 148. The total energy comes out at -0.0436 Ha/atom.

Cell lengths 9.615, 9.615, 9.615 Å; angles 99.17, 99.17, 99.17 degrees
Sites, in units of the cell vectors:
Cd 0.701 0.535 0.295
K 0.305 0.805 0.945
K 0.937 0.660 0.640
K 0.360 0.063 0.340
K 0.660 0.640 0.937
K 0.340 0.360 0.063
Cd 0.535 0.295 0.701
Au 0.000 0.000 0.000
K 0.805 0.945 0.305
Cd 0.299 0.465 0.705
K 0.695 0.195 0.055
K 0.945 0.305 0.805
K 0.055 0.695 0.195
Cd 0.295 0.701 0.535
Cd 0.465 0.705 0.299
K 0.195 0.055 0.695
K 0.640 0.937 0.660
Cd 0.705 0.299 0.465
K 0.063 0.340 0.360

Record 4
K2Cd5Au3 | PBE-GGA | optimized geometry

Output
For the magnetization, the calculation gives 0.000 μB per formula unit. As for the space group: No. 72. The total energy comes out at -0.0686 Ha/atom.

Cell lengths 6.682, 9.640, 9.640 Å; angles 72.98, 69.72, 69.72 degrees
Sites, in units of the cell vectors:
Cd 0.413 0.258 0.916
Au 0.647 0.451 0.255
K 0.646 0.133 0.575
Cd 0.250 0.500 0.500
K 0.854 0.425 0.867
K 0.354 0.867 0.425
K 0.146 0.575 0.133
Cd 0.042 0.208 0.208
Au 0.750 0.000 0.000
Au 0.353 0.549 0.745
Au 0.250 0.000 0.000
Cd 0.913 0.916 0.258
Cd 0.087 0.084 0.742
Cd 0.750 0.500 0.500
Cd 0.958 0.792 0.792
Au 0.147 0.255 0.451
Cd 0.458 0.792 0.792
Cd 0.542 0.208 0.208
Cd 0.587 0.742 0.084
Au 0.853 0.745 0.549

Record 5
K3CdAu2 | PBE-GGA | optimized geometry

Output
For the magnetization, the calculation gives 0.000 μB per formula unit. As for the space group: No. 14. The total energy comes out at -0.0749 Ha/atom.

Cell lengths 9.035, 10.594, 10.315 Å; angles 90.00, 122.02, 90.00 degrees
Sites, in units of the cell vectors:
K 0.390 0.893 0.145
Au 0.715 0.308 0.639
K 0.890 0.607 0.645
Au 0.785 0.808 0.861
K 0.237 0.324 0.846
K 0.110 0.393 0.355
Cd 0.429 0.140 0.458
K 0.263 0.824 0.654
Au 0.185 0.127 0.566
Au 0.315 0.627 0.934
K 0.737 0.176 0.346
Au 0.215 0.192 0.139
K 0.036 0.962 0.236
Cd 0.071 0.640 0.042
Au 0.285 0.692 0.361
Au 0.685 0.373 0.066
K 0.610 0.107 0.855
K 0.536 0.538 0.736
K 0.464 0.462 0.264
Au 0.815 0.873 0.434
Cd 0.571 0.860 0.542
K 0.964 0.038 0.764
Cd 0.929 0.360 0.958
K 0.763 0.676 0.154

Record 6
K2Cd5Au4 | PBE-GGA | optimized geometry

Output
For the magnetization, the calculation gives 0.000 μB per formula unit. As for the space group: No. 69. The total energy comes out at -0.0743 Ha/atom.

Cell lengths 6.231, 6.249, 9.184 Å; angles 80.26, 70.17, 60.09 degrees
Sites, in units of the cell vectors:
Au 0.513 0.710 0.264
K 0.143 0.000 0.715
Au 0.487 0.290 0.736
Cd 0.500 0.000 0.000
K 0.857 0.000 0.285
Cd 0.000 0.500 0.000
Au 0.223 0.290 0.264
Cd 0.750 0.500 0.500
Au 0.777 0.710 0.736
Cd 0.500 0.500 0.000
Cd 0.250 0.500 0.500

Record 7
KCdAu2 | PBE-GGA | optimized geometry

Output
For the magnetization, the calculation gives 0.000 μB per formula unit. As for the space group: No. 25. The total energy comes out at -0.0819 Ha/atom.

Cell lengths 3.025, 4.290, 7.549 Å; angles 90.00, 90.00, 90.00 degrees
Sites, in units of the cell vectors:
Au 0.000 0.000 0.052
K 0.500 0.500 0.771
Au 0.500 0.500 0.243
Cd 0.000 0.000 0.434

Record 8
K4CdAu | PBE-GGA | optimized geometry

Output
For the magnetization, the calculation gives 0.000 μB per formula unit. As for the space group: No. 216. The total energy comes out at -0.0438 Ha/atom.

Cell lengths 7.463, 7.463, 7.463 Å; angles 60.00, 60.00, 60.00 degrees
Sites, in units of the cell vectors:
Au 0.750 0.750 0.750
Cd 0.000 0.000 0.000
K 0.376 0.873 0.376
K 0.873 0.376 0.376
K 0.376 0.376 0.873
K 0.376 0.376 0.376